# 1
# V2AgSe

An optimized crystal structure of V2AgSe (PBE, the Alexandria database).

```
V2AgSe
1.0
-3.4908 3.4908 2.7285
3.4908 -3.4908 2.7285
3.4908 3.4908 -2.7285
V Ag Se
4 2 2
direct
0.0900 0.6250 0.9650 V
0.3750 0.3400 0.4650 V
0.6600 0.1250 0.0350 V
0.8750 0.9100 0.5350 V
0.2500 0.7500 0.5000 Ag
0.5000 0.5000 0.0000 Ag
0.0000 0.0000 0.0000 Se
0.7500 0.2500 0.5000 Se
```

Results
Raw formation energy = 0.377 eV/atom
Theoretical density = 7.21 Mg/m³
Crystal system = tetragonal

=====

# 2
# Y2VAgSe

An optimized crystal structure of Y2VAgSe (PBE, the Alexandria database).

```
Y2VAgSe
1.0
5.3013 0.0000 0.0000
0.0000 5.3013 0.0000
0.0000 0.0000 4.6028
Y V Ag Se
2 1 1 1
direct
0.0000 0.5000 0.0000 Y
0.5000 0.0000 0.0000 Y
0.0000 0.0000 0.0000 V
0.5000 0.5000 0.5000 Ag
0.0000 0.0000 0.5000 Se
```

Results
Raw formation energy = 0.083 eV/atom
Theoretical density = 5.33 Mg/m³
Crystal system = tetragonal

=====

# 3
# Ag2WSe

An optimized crystal structure of Ag2WSe (PBE, the Alexandria database).

```
Ag2WSe
1.0
3.0741 0.0000 0.0000
0.0000 3.0741 0.0000
0.0000 0.0000 7.7162
Ag W Se
2 1 1
direct
0.0000 0.0000 0.0000 Ag
0.5000 0.5000 0.2478 Ag
0.5000 0.5000 0.7459 W
0.0000 0.0000 0.5627 Se
```

Results
Raw formation energy = 0.295 eV/atom
Theoretical density = 10.90 Mg/m³
Crystal system = tetragonal

=====

# 4
# AgWSe2

An optimized crystal structure of AgWSe2 (PBE, the Alexandria database).

```
AgWSe2
1.0
-3.0142 3.0142 5.6088
3.0142 -3.0142 5.6088
3.0142 3.0142 -5.6088
Ag W Se
2 2 4
direct
0.0000 0.0000 0.0000 Ag
0.7500 0.2500 0.5000 Ag
0.2500 0.7500 0.5000 W
0.5000 0.5000 0.0000 W
0.1597 0.6250 0.0347 Se
0.3750 0.4097 0.5347 Se
0.5903 0.1250 0.9653 Se
0.8750 0.8403 0.4653 Se
```

Results
Raw formation energy = 0.311 eV/atom
Theoretical density = 7.33 Mg/m³
Crystal system = tetragonal
E above lowest polymorph = 364 meV per atom

=====

# 5
# AgWSe2

An optimized crystal structure of AgWSe2 (PBE, the Alexandria database).

```
AgWSe2
1.0
1.6436 0.9489 8.8336
-1.6436 0.9489 8.8336
0.0000 -1.8978 8.8336
Ag W Se
1 1 2
direct
0.0000 0.0000 0.0000 Ag
0.5000 0.5000 0.5000 W
0.1014 0.1014 0.1014 Se
0.8986 0.8986 0.8986 Se
```

Results
Raw formation energy = -0.054 eV/atom
Theoretical density = 9.03 Mg/m³
Crystal system = trigonal
E above lowest polymorph = 0 meV per atom

=====

# 6
# AgW2Se

An optimized crystal structure of AgW2Se (PBE, the Alexandria database).

```
AgW2Se
1.0
3.1371 0.0000 0.0000
0.0000 4.5900 0.0000
0.0000 0.0000 4.7454
Ag W Se
1 2 1
direct
0.0000 0.0000 0.0000 Ag
0.0000 0.5000 0.5000 W
0.5000 0.0000 0.5000 W
0.5000 0.5000 0.0000 Se
```

Results
Raw formation energy = 0.839 eV/atom
Theoretical density = 13.48 Mg/m³
Crystal system = orthorhombic

=====

# 7
# AgWSe2

An optimized crystal structure of AgWSe2 (PBE, the Alexandria database).

```
AgWSe2
1.0
3.1705 0.0000 0.0000
0.0000 4.0874 0.0000
0.0000 0.0000 5.7334
Ag W Se
1 1 2
direct
0.0000 0.0000 0.0000 Ag
0.5000 0.5000 0.6518 W
0.0000 0.0000 0.5432 Se
0.5000 0.5000 0.2133 Se
```

Results
Raw formation energy = 0.426 eV/atom
Theoretical density = 10.05 Mg/m³
Crystal system = orthorhombic
E above lowest polymorph = 480 meV per atom

=====

# 8
# AgWSe2

An optimized crystal structure of AgWSe2 (PBE, the Alexandria database).

```
AgWSe2
1.0
1.6105 0.9298 9.4715
-1.6105 0.9298 9.4715
0.0000 -1.8596 9.4715
Ag W Se
1 1 2
direct
0.0000 0.0000 0.0000 Ag
0.5000 0.5000 0.5000 W
0.2287 0.2287 0.2287 Se
0.7713 0.7713 0.7713 Se
```

Results
Raw formation energy = -0.045 eV/atom
Theoretical density = 8.77 Mg/m³
Crystal system = trigonal
E above lowest polymorph = 8 meV per atom